Computed, not measured: a relaxed KZr2PCl crystal at the PBE-GGA level of DFT.

crystal system: tetragonal

a = 4.813 Å, b = 5.657 Å, c = 4.813 Å
α = 90.00°, β = 90.00°, γ = 90.00°
Element x y z (fractional)
Zr  0.000  0.000  0.500
Zr  0.500  0.000  0.000
K  0.500  0.500  0.500
Cl  0.000  0.000  0.000
P  0.000  0.500  0.000

Computed, not measured: a relaxed KPaCl5 crystal at the PBE-GGA level of DFT.

crystal system: monoclinic

a = 7.663 Å, b = 7.663 Å, c = 10.822 Å
α = 70.14°, β = 70.14°, γ = 70.15°
Last column: magnetic moment on the atom in μB.
Element x y z (fractional)
Cl  0.282  0.163  0.884  -0.02
Cl  0.068  0.932  0.250  -0.01
Cl  0.246  0.666  0.988  -0.01
Cl  0.666  0.246  0.488  -0.01
Cl  0.718  0.837  0.116  -0.02
Cl  0.754  0.334  0.012  -0.01
Cl  0.334  0.754  0.512  -0.01
Cl  0.932  0.068  0.750  -0.01
Cl  0.163  0.282  0.384  -0.02
Cl  0.837  0.718  0.616  -0.02
K  0.538  0.462  0.750  0.00
K  0.462  0.538  0.250  0.00
Pa  0.000  0.000  0.000  1.05
Pa  0.000  0.000  0.500  1.05

Computed, not measured: a relaxed KPa2Cl11 crystal at the PBE-GGA level of DFT.

crystal system: orthorhombic

a = 12.412 Å, b = 11.270 Å, c = 11.270 Å
α = 67.20°, β = 56.59°, γ = 56.59°
Element x y z (fractional)
Cl  0.426  0.886  0.369
Cl  0.868  0.928  0.817
Cl  0.681  0.631  0.114
Cl  0.319  0.369  0.886
Cl  0.574  0.114  0.631
Cl  0.000  0.000  0.000
Cl  0.500  0.500  0.500
Cl  0.203  0.201  0.799
Cl  0.926  0.869  0.386
Cl  0.132  0.072  0.183
Cl  0.797  0.799  0.201
Cl  0.181  0.614  0.131
Cl  0.613  0.183  0.072
Cl  0.703  0.299  0.701
Cl  0.074  0.131  0.614
Cl  0.632  0.683  0.572
Cl  0.387  0.817  0.928
Cl  0.297  0.701  0.299
Cl  0.368  0.317  0.428
Cl  0.819  0.386  0.869
Cl  0.887  0.428  0.317
Cl  0.113  0.572  0.683
K  0.250  0.250  0.250
K  0.750  0.750  0.750
Pa  0.157  0.843  0.157
Pa  0.657  0.657  0.343
Pa  0.343  0.343  0.657
Pa  0.843  0.157  0.843

Number 1: uncorrected energy -4.6075 eV/atom. Number 2: uncorrected energy -4.7563 eV/atom. Number 3: uncorrected energy -4.7535 eV/atom.